Record 1
VASP calculation (GGA-PBE) on a relaxed Al2ZnCu4 crystal.

Computed properties:
* E: -25.28 eV/f.u.
* ρ: 6.21 g/cm³
* energy of formation from the pure elements: -0.019 eV/atom
* total moment: 0.00 μB/f.u.
* volume: 99.8 Å³ per cell
* symmetry: I4/mmm

a b c (Å): 5.064 5.064 5.064
angles (deg): 111.62 108.41 108.41
Atoms (fractional coordinates):
Zn (0.000, 0.000, 0.000)
Al (0.500, 0.500, 0.000)
Al (0.500, 0.000, 0.500)
Cu (0.500, 0.000, 0.000)
Cu (0.500, 0.500, 0.500)
Cu (0.000, 0.000, 0.500)
Cu (0.000, 0.500, 0.000)



Record 2
VASP calculation (GGA-PBE) on a relaxed AgTeO3 crystal.

Computed properties:
* ΔE_f (raw): -0.61 eV/atom
* E: -23.89 eV/f.u.
* ρ: 6.08 g/cm³
* total moment: 0.00 μB/f.u.
* volume: 154.9 Å³ per cell
* symmetry: C2/m

a b c (Å): 3.892 6.211 6.805
angles (deg): 97.04 90.00 108.26
Atoms (fractional coordinates):
Ag (0.383, 0.766, 0.592)
Ag (0.617, 0.234, 0.408)
Te (0.118, 0.236, 0.868)
Te (0.882, 0.764, 0.132)
O (0.957, 0.914, 0.789)
O (0.043, 0.086, 0.211)
O (0.650, 0.299, 0.936)
O (0.350, 0.701, 0.064)
O (0.833, 0.666, 0.387)
O (0.167, 0.334, 0.613)



Record 3
VASP calculation (GGA-PBE) on a relaxed Ba5Zn2Pb5 crystal.

Computed properties:
* E: -35.80 eV/f.u.
* ρ: 6.69 g/cm³
* energy of formation from the pure elements: -0.425 eV/atom
* total moment: 0.00 μB/f.u.
* volume: 460.1 Å³ per cell
* symmetry: C2/m

a b c (Å): 4.831 9.476 10.671
angles (deg): 86.89 76.92 75.23
Atoms (fractional coordinates):
Ba (0.000, 0.500, 0.500)
Ba (0.689, 0.698, 0.924)
Ba (0.377, 0.923, 0.323)
Ba (0.623, 0.077, 0.677)
Ba (0.311, 0.302, 0.076)
Zn (0.382, 0.477, 0.759)
Zn (0.618, 0.523, 0.241)
Pb (0.716, 0.230, 0.338)
Pb (0.934, 0.319, 0.813)
Pb (0.066, 0.681, 0.187)
Pb (0.284, 0.770, 0.662)
Pb (0.000, 0.000, 0.000)



Record 4
VASP calculation (GGA-PBE) on a relaxed Li3RuCl6 crystal.

Computed properties:
* ΔE_f (raw): -1.22 eV/atom
* E: -38.30 eV/f.u.
* ρ: 2.82 g/cm³
* total moment: 1.02 μB/f.u.
* volume: 394.7 Å³ per cell
* symmetry: P2_1/c

a b c (Å): 6.340 6.491 9.591
angles (deg): 90.00 89.80 90.00
Last column: magnetic moment on the atom in μB.
Atoms (fractional coordinates):
Li (0.497, 0.951, 0.778)  0.00
Li (0.500, 0.500, 0.000)  0.00
Li (0.503, 0.049, 0.222)  0.00
Li (0.997, 0.549, 0.278)  0.00
Li (0.000, 0.000, 0.500)  0.00
Li (0.003, 0.451, 0.722)  0.00
Ru (0.500, 0.500, 0.500)  0.77
Ru (0.000, 0.000, 0.000)  0.77
Cl (0.681, 0.176, 0.948)  0.02
Cl (0.659, 0.194, 0.586)  0.04
Cl (0.630, 0.415, 0.272)  0.02
Cl (0.370, 0.585, 0.728)  0.02
Cl (0.341, 0.806, 0.414)  0.04
Cl (0.319, 0.824, 0.052)  0.02
Cl (0.181, 0.324, 0.448)  0.02
Cl (0.159, 0.306, 0.086)  0.04
Cl (0.130, 0.085, 0.772)  0.02
Cl (0.870, 0.915, 0.228)  0.02
Cl (0.841, 0.694, 0.914)  0.04
Cl (0.819, 0.676, 0.552)  0.02



Record 5
VASP calculation (GGA-PBE) on a relaxed BaNiPS2 crystal.

Computed properties:
* ΔE_f (raw): 1.33 eV/atom
* E: -14.73 eV/f.u.
* ρ: 2.32 g/cm³
* total moment: 4.71 μB/f.u.
* volume: 208.2 Å³ per cell
* symmetry: P4/mmm

a b c (Å): 5.881 5.881 6.020
angles (deg): 90.00 90.00 90.00
Last column: magnetic moment on the atom in μB.
Atoms (fractional coordinates):
Ni (0.500, 0.500, 0.500)  0.99
S (0.000, 0.500, 0.000)  0.56
S (0.500, 0.000, 0.000)  0.56
Ba (0.000, 0.000, 0.000)  0.05
P (0.000, 0.000, 0.500)  0.79



Record 6
VASP calculation (GGA-PBE) on a relaxed Li2PmAlO4 crystal.

Computed properties:
* ΔE_f (raw): -2.75 eV/atom
* E: -54.11 eV/f.u.
* ρ: 4.72 g/cm³
* total moment: 0.00 μB/f.u.
* volume: 87.9 Å³ per cell
* symmetry: I-42m

a b c (Å): 5.175 4.916 4.916
angles (deg): 83.79 58.24 58.24
Atoms (fractional coordinates):
Li (0.500, 0.750, 0.250)
Li (0.500, 0.250, 0.750)
Pm (0.000, 0.000, 0.000)
Al (0.000, 0.500, 0.500)
O (0.592, 0.555, 0.854)
O (0.408, 0.146, 0.445)
O (0.000, 0.446, 0.146)
O (0.000, 0.854, 0.554)



Record 7
VASP calculation (GGA-PBE) on a relaxed BaEuAl4 crystal.

Computed properties:
* E: -28.77 eV/f.u.
* ρ: 4.59 g/cm³
* energy of formation from the pure elements: -0.267 eV/atom
* total moment: 7.02 μB/f.u.
* volume: 143.6 Å³ per cell
* symmetry: F-43m

a b c (Å): 5.878 5.878 5.878
angles (deg): 60.00 60.00 60.00
Last column: magnetic moment on the atom in μB.
Atoms (fractional coordinates):
Eu (0.000, 0.000, 0.000)  6.82
Ba (0.250, 0.250, 0.250)  0.00
Al (0.625, 0.625, 0.124)  -0.01
Al (0.625, 0.124, 0.625)  -0.01
Al (0.625, 0.625, 0.625)  -0.01
Al (0.124, 0.625, 0.625)  -0.01



Record 8
VASP calculation (GGA-PBE) on a relaxed Pm4CoPCl2 crystal.

Computed properties:
* ΔE_f (raw): -1.18 eV/atom
* E: -44.66 eV/f.u.
* ρ: 6.02 g/cm³
* total moment: 0.00 μB/f.u.
* volume: 204.3 Å³ per cell
* symmetry: P2/m

a b c (Å): 3.930 7.316 7.453
angles (deg): 107.55 90.00 90.00
Atoms (fractional coordinates):
Pm (0.500, 0.215, 0.201)
Pm (0.500, 0.785, 0.799)
Pm (0.000, 0.255, 0.785)
Pm (0.000, 0.745, 0.215)
Co (0.000, 0.000, 0.000)
P (0.500, 0.500, 0.000)
Cl (0.500, 0.000, 0.500)
Cl (0.000, 0.500, 0.500)



Record 9
VASP calculation (GGA-PBE) on a relaxed Tb2Mg2Tl7 crystal.

Computed properties:
* E: -29.56 eV/f.u.
* ρ: 9.56 g/cm³
* energy of formation from the pure elements: -0.050 eV/atom
* total moment: 0.00 μB/f.u.
* volume: 312.1 Å³ per cell
* symmetry: Imm2

a b c (Å): 3.625 10.502 10.502
angles (deg): 52.70 80.06 80.06
Atoms (fractional coordinates):
Tb (0.744, 0.850, 0.662)
Tb (0.256, 0.338, 0.150)
Mg (0.000, 0.741, 0.259)
Mg (0.500, 0.355, 0.645)
Tl (0.853, 0.035, 0.259)
Tl (0.864, 0.423, 0.849)
Tl (0.500, 0.036, 0.964)
Tl (0.611, 0.480, 0.297)
Tl (0.389, 0.703, 0.520)
Tl (0.147, 0.741, 0.965)
Tl (0.136, 0.151, 0.577)



Record 10
VASP calculation (GGA-PBE) on a relaxed Ba3AlB crystal.

Computed properties:
* E: -13.84 eV/f.u.
* ρ: 3.68 g/cm³
* energy of formation from the pure elements: 0.469 eV/atom
* total moment: 2.94 μB/f.u.
* volume: 202.9 Å³ per cell
* symmetry: Pm-3m

a b c (Å): 5.876 5.876 5.876
angles (deg): 90.00 90.00 90.00
Last column: magnetic moment on the atom in μB.
Atoms (fractional coordinates):
B (0.000, 0.000, 0.000)  0.26
Ba (0.000, 0.500, 0.000)  0.15
Ba (0.000, 0.000, 0.500)  0.10
Ba (0.500, 0.000, 0.000)  0.17
Al (0.500, 0.500, 0.500)  0.14



Record 11
VASP calculation (GGA-PBE) on a relaxed CeNbCo4 crystal.

Computed properties:
* E: -44.87 eV/f.u.
* ρ: 9.40 g/cm³
* energy of formation from the pure elements: -0.075 eV/atom
* total moment: 0.00 μB/f.u.
* volume: 82.8 Å³ per cell
* symmetry: F-43m

a b c (Å): 4.892 4.892 4.892
angles (deg): 60.00 60.00 60.00
Atoms (fractional coordinates):
Nb (0.000, 0.000, 0.000)
Co (0.625, 0.625, 0.124)
Co (0.625, 0.124, 0.625)
Co (0.625, 0.625, 0.625)
Co (0.124, 0.625, 0.625)
Ce (0.250, 0.250, 0.250)



Record 12
VASP calculation (GGA-PBE) on a relaxed Dy2Zn6Cd crystal.

Computed properties:
* E: -20.20 eV/f.u.
* ρ: 8.07 g/cm³
* energy of formation from the pure elements: -0.271 eV/atom
* total moment: 0.00 μB/f.u.
* volume: 170.7 Å³ per cell
* symmetry: P-3m1

a b c (Å): 5.939 5.761 5.762
angles (deg): 119.99 89.99 90.00
Atoms (fractional coordinates):
Dy (0.853, 0.667, 0.333)
Dy (0.147, 0.333, 0.667)
Zn (0.345, 0.361, 0.181)
Zn (0.345, 0.819, 0.639)
Zn (0.345, 0.819, 0.181)
Zn (0.655, 0.639, 0.819)
Zn (0.655, 0.181, 0.361)
Zn (0.655, 0.181, 0.819)
Cd (0.000, 0.000, 0.000)



Record 13
VASP calculation (GGA-PBE) on a relaxed La4AuBr crystal.

Computed properties:
* ΔE_f (raw): 0.07 eV/atom
* E: -24.21 eV/f.u.
* ρ: 7.43 g/cm³
* total moment: 0.00 μB/f.u.
* volume: 186.0 Å³ per cell
* symmetry: F-43m

a b c (Å): 6.407 6.407 6.407
angles (deg): 60.00 60.00 60.00
Atoms (fractional coordinates):
La (0.874, 0.375, 0.375)
La (0.375, 0.375, 0.874)
La (0.375, 0.874, 0.375)
La (0.375, 0.375, 0.375)
Au (0.750, 0.750, 0.750)
Br (0.000, 0.000, 0.000)



Record 14
VASP calculation (GGA-PBE) on a relaxed Tm3CoPd2 crystal.

Computed properties:
* E: -35.10 eV/f.u.
* ρ: 10.94 g/cm³
* energy of formation from the pure elements: -0.700 eV/atom
* total moment: 0.00 μB/f.u.
* volume: 236.4 Å³ per cell
* symmetry: Cmmm

a b c (Å): 4.824 7.616 6.784
angles (deg): 90.00 90.00 71.53
Atoms (fractional coordinates):
Tm (0.830, 0.341, 0.760)
Tm (0.500, 0.000, 0.243)
Tm (0.170, 0.659, 0.240)
Tm (0.830, 0.341, 0.240)
Tm (0.170, 0.659, 0.760)
Tm (0.500, 0.000, 0.757)
Co (0.333, 0.334, 0.000)
Co (0.667, 0.666, 0.000)
Pd (0.000, 0.000, 0.000)
Pd (0.000, 0.000, 0.500)
Pd (0.335, 0.330, 0.500)
Pd (0.665, 0.670, 0.500)



Record 15
VASP calculation (GGA-PBE) on a relaxed LiRu2Br crystal.

Computed properties:
* ΔE_f (raw): 0.57 eV/atom
* E: -19.85 eV/f.u.
* ρ: 7.84 g/cm³
* total moment: 0.00 μB/f.u.
* volume: 61.2 Å³ per cell
* symmetry: Imm2

a b c (Å): 5.336 5.336 5.336
angles (deg): 147.87 130.17 60.53
Atoms (fractional coordinates):
Br (0.518, 0.518, 0.000)
Li (0.259, 0.759, 0.500)
Ru (0.978, 0.978, 0.000)
Ru (0.746, 0.246, 0.500)



Record 16
VASP calculation (GGA-PBE) on a relaxed ScSnW2C crystal.

Computed properties:
* E: -43.66 eV/f.u.
* ρ: 10.48 g/cm³
* energy of formation from the pure elements: 0.361 eV/atom
* total moment: 0.00 μB/f.u.
* volume: 86.1 Å³ per cell
* symmetry: P4/mmm

a b c (Å): 4.141 5.019 4.141
angles (deg): 90.00 90.00 90.00
Atoms (fractional coordinates):
Sc (0.500, 0.500, 0.500)
C (0.000, 0.000, 0.000)
Sn (0.000, 0.500, 0.000)
W (0.000, 0.000, 0.500)
W (0.500, 0.000, 0.000)



Record 17
VASP calculation (GGA-PBE) on a relaxed Na3Tl3PbI8 crystal.

Computed properties:
* ΔE_f (raw): -0.90 eV/atom
* E: -40.61 eV/f.u.
* ρ: 5.02 g/cm³
* total moment: 0.00 μB/f.u.
* volume: 630.0 Å³ per cell
* symmetry: C2/m

a b c (Å): 9.470 9.478 9.779
angles (deg): 119.02 90.00 119.97
Atoms (fractional coordinates):
Na (0.500, 0.000, 0.500)
Na (0.500, 0.500, 0.500)
Na (0.000, 0.500, 0.500)
Tl (0.000, 0.000, 0.000)
Tl (0.000, 0.500, 0.000)
Tl (0.500, 0.500, 0.000)
Pb (0.000, 0.000, 0.500)
I (0.259, 0.517, 0.277)
I (0.741, 0.483, 0.723)
I (0.759, 0.518, 0.277)
I (0.241, 0.482, 0.723)
I (0.759, 0.018, 0.277)
I (0.241, 0.982, 0.723)
I (0.259, 0.018, 0.277)
I (0.741, 0.982, 0.723)



Record 18
VASP calculation (GGA-PBE) on a relaxed Cd2SbBr crystal.

Computed properties:
* ΔE_f (raw): -0.03 eV/atom
* E: -7.75 eV/f.u.
* ρ: 6.55 g/cm³
* total moment: 0.00 μB/f.u.
* volume: 108.1 Å³ per cell
* symmetry: Cmm2

a b c (Å): 3.452 3.452 9.656
angles (deg): 90.00 90.00 110.00
Atoms (fractional coordinates):
Sb (0.000, 0.000, 0.469)
Br (0.500, 0.500, 0.800)
Cd (0.000, 0.000, 0.998)
Cd (0.500, 0.500, 0.233)



Record 19
VASP calculation (GGA-PBE) on a relaxed Y3ScGa12 crystal.

Computed properties:
* E: -70.36 eV/f.u.
* ρ: 6.22 g/cm³
* energy of formation from the pure elements: -0.520 eV/atom
* total moment: 0.00 μB/f.u.
* volume: 306.5 Å³ per cell
* symmetry: P4/mmm

a b c (Å): 4.243 4.243 17.024
angles (deg): 90.00 90.00 90.00
Atoms (fractional coordinates):
Y (0.000, 0.000, 0.245)
Y (0.000, 0.000, 0.500)
Y (0.000, 0.000, 0.755)
Sc (0.000, 0.000, 0.000)
Ga (0.500, 0.500, 0.000)
Ga (0.500, 0.500, 0.249)
Ga (0.500, 0.500, 0.500)
Ga (0.500, 0.500, 0.751)
Ga (0.500, 0.000, 0.118)
Ga (0.500, 0.000, 0.373)
Ga (0.500, 0.000, 0.627)
Ga (0.500, 0.000, 0.882)
Ga (0.000, 0.500, 0.118)
Ga (0.000, 0.500, 0.373)
Ga (0.000, 0.500, 0.627)
Ga (0.000, 0.500, 0.882)



Record 20
VASP calculation (GGA-PBE) on a relaxed Co3BMo crystal.

Computed properties:
* E: -38.02 eV/f.u.
* ρ: 8.58 g/cm³
* energy of formation from the pure elements: 0.162 eV/atom
* total moment: 1.97 μB/f.u.
* volume: 54.9 Å³ per cell
* symmetry: Pm-3m

a b c (Å): 3.800 3.800 3.800
angles (deg): 90.00 90.00 90.00
Last column: magnetic moment on the atom in μB.
Atoms (fractional coordinates):
Mo (0.500, 0.500, 0.500)  0.90
B (0.000, 0.000, 0.000)  -0.03
Co (0.000, 0.500, 0.000)  0.34
Co (0.000, 0.000, 0.500)  0.36
Co (0.500, 0.000, 0.000)  0.36